(1)
VASP calculation (SCAN) on NaCdSe2N at its PBEsol-relaxed geometry.

Results
Energy = -16.321 eV/atom
Space-group type = P4/mmm (123)

abc: 5.320 5.320 4.224
angles: 90.00 90.00 90.00
Fractional coordinates of all 5 atoms:
Na1 0.000 0.000 0.000
Cd1 0.500 0.500 0.500
Se1 0.000 0.500 0.500
Se2 0.500 0.000 0.500
N1 0.500 0.500 0.000

---

(2)
VASP calculation (SCAN) on NaCdTe2N at its PBEsol-relaxed geometry.

Results
Energy = -22.719 eV/atom
Space-group type = P4/mmm (123)

abc: 5.511 5.511 4.297
angles: 90.00 90.00 90.00
Fractional coordinates of all 5 atoms:
Na1 0.000 0.000 0.000
Cd1 0.500 0.500 0.500
Te1 0.000 0.500 0.000
Te2 0.500 0.000 0.000
N1 0.000 0.000 0.500

---

(3)
VASP calculation (SCAN) on NbCdS2N at its PBEsol-relaxed geometry.

Results
Energy = -18.647 eV/atom
Space-group type = P4/mmm (123)

abc: 4.921 4.921 3.865
angles: 90.00 90.00 90.00
Fractional coordinates of all 5 atoms:
Nb1 0.000 0.000 0.000
Cd1 0.500 0.500 0.500
S1 0.000 0.500 0.000
S2 0.500 0.000 0.000
N1 0.000 0.000 0.500

---

(4)
VASP calculation (SCAN) on NbCd2SiN at its PBEsol-relaxed geometry.

Results
Energy = -22.228 eV/atom
Space-group type = P4/mmm (123)

abc: 4.535 4.535 4.134
angles: 90.00 90.00 90.00
Fractional coordinates of all 5 atoms:
Nb1 0.000 0.000 0.000
Cd1 0.000 0.500 0.500
Cd2 0.500 0.000 0.500
Si1 0.500 0.500 0.000
N1 0.000 0.000 0.500

---

(5)
VASP calculation (SCAN) on CdNiN2 at its PBEsol-relaxed geometry.

Results
Energy = -15.169 eV/atom
Space-group type = R-3m (166)

abc: 6.096 6.096 6.096
angles: 31.35 31.35 31.35
Fractional coordinates of all 4 atoms:
Cd1 0.000 0.000 0.000
Ni1 0.500 0.500 0.500
N1 0.403 0.403 0.403
N2 0.597 0.597 0.597

---

(6)
VASP calculation (SCAN) on CdNiS2N at its PBEsol-relaxed geometry.

Results
Energy = -14.442 eV/atom
Space-group type = P4/mmm (123)

abc: 4.515 4.515 3.541
angles: 90.00 90.00 90.00
Fractional coordinates of all 5 atoms:
Cd1 0.000 0.000 0.000
Ni1 0.500 0.500 0.000
S1 0.000 0.500 0.500
S2 0.500 0.000 0.500
N1 0.500 0.500 0.500

---

(7)
VASP calculation (SCAN) on Cd2NO at its PBEsol-relaxed geometry.

Results
Energy = -18.773 eV/atom
Space-group type = Fm-3m (225)

abc: 4.124 4.124 4.124
angles: 60.00 60.00 60.00
Fractional coordinates of all 4 atoms:
Cd1 0.250 0.250 0.250
Cd2 0.750 0.750 0.750
N1 0.000 0.000 0.000
O1 0.500 0.500 0.500

---

(8)
VASP calculation (SCAN) on CdOsNO2 at its PBEsol-relaxed geometry.

Results
Energy = -23.027 eV/atom
Space-group type = P4/mmm (123)

abc: 3.968 3.968 4.192
angles: 90.00 90.00 90.00
Fractional coordinates of all 5 atoms:
Cd1 0.000 0.000 0.000
Os1 0.500 0.500 0.500
N1 0.000 0.000 0.500
O1 0.000 0.500 0.000
O2 0.500 0.000 0.000

---

(9)
VASP calculation (SCAN) on CdPNO2 at its PBEsol-relaxed geometry.

Results
Energy = -11.147 eV/atom
Space-group type = P4/mmm (123)

abc: 3.975 3.975 4.170
angles: 90.00 90.00 90.00
Fractional coordinates of all 5 atoms:
Cd1 0.000 0.000 0.000
P1 0.500 0.500 0.500
N1 0.000 0.000 0.500
O1 0.000 0.500 0.000
O2 0.500 0.000 0.000

---

(10)
VASP calculation (SCAN) on CdRhN2O at its PBEsol-relaxed geometry.

Results
Energy = -17.157 eV/atom
Space-group type = P4/mmm (123)

abc: 3.717 3.717 4.336
angles: 90.00 90.00 90.00
Fractional coordinates of all 5 atoms:
Cd1 0.000 0.000 0.000
Rh1 0.500 0.500 0.500
N1 0.000 0.500 0.500
N2 0.500 0.000 0.500
O1 0.500 0.500 0.000

---

(11)
VASP calculation (SCAN) on CdSbNO2 at its PBEsol-relaxed geometry.

Results
Energy = -17.266 eV/atom
Space-group type = P4/mmm (123)

abc: 4.031 4.031 4.197
angles: 90.00 90.00 90.00
Fractional coordinates of all 5 atoms:
Cd1 0.000 0.000 0.000
Sb1 0.500 0.500 0.500
N1 0.000 0.000 0.500
O1 0.000 0.500 0.000
O2 0.500 0.000 0.000

---

(12)
VASP calculation (SCAN) on ScCdNO2 at its PBEsol-relaxed geometry.

Results
Energy = -13.535 eV/atom
Space-group type = P4/mmm (123)

abc: 3.977 3.977 4.094
angles: 90.00 90.00 90.00
Fractional coordinates of all 5 atoms:
Sc1 0.000 0.000 0.000
Cd1 0.500 0.500 0.500
N1 0.500 0.500 0.000
O1 0.000 0.500 0.500
O2 0.500 0.000 0.500

---

(13)
VASP calculation (SCAN) on CdSe2NO at its PBEsol-relaxed geometry.

Results
Energy = -16.163 eV/atom
Space-group type = P4/mmm (123)

abc: 4.527 4.527 3.856
angles: 90.00 90.00 90.00
Fractional coordinates of all 5 atoms:
Cd1 0.000 0.000 0.000
Se1 0.000 0.500 0.500
Se2 0.500 0.000 0.500
N1 0.500 0.500 0.000
O1 0.500 0.500 0.500

---

(14)
VASP calculation (SCAN) on CdSnNO2 at its PBEsol-relaxed geometry.

Results
Energy = -17.119 eV/atom
Space-group type = P4/mmm (123)

abc: 4.161 4.161 4.150
angles: 90.00 90.00 90.00
Fractional coordinates of all 5 atoms:
Cd1 0.000 0.000 0.000
Sn1 0.500 0.500 0.500
N1 0.000 0.000 0.500
O1 0.000 0.500 0.000
O2 0.500 0.000 0.000

---

(15)
VASP calculation (SCAN) on CdTeNO2 at its PBEsol-relaxed geometry.

Results
Energy = -17.066 eV/atom
Space-group type = P4/mmm (123)

abc: 4.041 4.041 4.215
angles: 90.00 90.00 90.00
Fractional coordinates of all 5 atoms:
Cd1 0.000 0.000 0.000
Te1 0.500 0.500 0.500
N1 0.000 0.000 0.500
O1 0.000 0.500 0.000
O2 0.500 0.000 0.000